Compound: ZrTaGe2I
Source: the Alexandria database
Functional: GGA-PBE
Structure: optimized geometry

Summary:
The space-group type is P4/mmm, No. 123. The calculation puts the energy at -28.78 eV per cell.

POSCAR file:
```
ZrTaGe2I
1.0
5.010 0.000 0.000
0.000 5.010 0.000
0.000 0.000 5.370
Ge I Zr Ta
2 1 1 1
Direct
0.000 0.500 0.000
0.500 0.000 0.000
0.500 0.500 0.500
0.000 0.000 0.500
0.000 0.000 0.000
```

***

Compound: BeTlNi
Source: the Alexandria database
Functional: GGA-PBE
Structure: optimized geometry

Summary:
The space-group type is P-6m2, No. 187. The calculation puts the energy at -10.84 eV per cell. For the energy relative to the elements, the calculation gives 33.40 kJ/mol of atoms.

POSCAR file:
```
BeTlNi
1.0
3.886 0.000 0.000
-1.943 3.365 0.000
0.000 0.000 3.435
Ni Tl Be
1 1 1
Direct
0.667 0.333 0.166
0.333 0.667 0.667
0.000 0.000 0.167
```